A plane-wave DFT calculation with PBE was carried out for a relaxed Ti3NbCd crystal.

Properties
Its symmetry is No. 12. The volume comes out at 18.1 A^3/atom. As for the magnetization: 0.0 μB per formula unit. The value obtained for the energy above the lowest structure with this stoichiometry is 0 meV per atom. For the total energy, the calculation gives -6.90 eV/atom.

a b c (Å): 5.547 5.547 7.951
angles (deg): 105.54 105.54 50.75
Element x y z (fractional)
Ti: 0.045 0.045 0.337
Ti: 0.252 0.252 0.767
Ti: 0.444 0.444 0.140
Ti: 0.556 0.556 0.860
Ti: 0.748 0.748 0.233
Ti: 0.955 0.955 0.663
Nb: 0.140 0.140 0.044
Nb: 0.860 0.860 0.956
Cd: 0.352 0.352 0.451
Cd: 0.648 0.648 0.549


A plane-wave DFT calculation with PBE was carried out for a relaxed TiNb3Cd crystal.

Properties
Its symmetry is No. 221. The volume comes out at 24.7 A^3/atom. As for the magnetization: 1.1 μB per formula unit. The value obtained for the energy above the lowest structure with this stoichiometry is 881 meV per atom. For the total energy, the calculation gives -5.85 eV/atom.

a b c (Å): 4.981 4.981 4.981
angles (deg): 90.00 90.00 90.00
Element x y z (fractional)
Ti: 0.000 0.000 0.000
Nb: 0.000 0.500 0.500
Nb: 0.500 0.000 0.500
Nb: 0.500 0.500 0.000
Cd: 0.500 0.500 0.500


A plane-wave DFT calculation with PBE was carried out for a relaxed Ti12Nb6Cd crystal.

Properties
Its symmetry is No. 166. The volume comes out at 18.4 A^3/atom. As for the magnetization: 0.0 μB per formula unit. For the total energy, the calculation gives -7.91 eV/atom.

a b c (Å): 8.155 8.155 8.155
angles (deg): 113.12 113.12 113.12
Element x y z (fractional)
Ti: 0.000 0.292 0.708
Ti: 0.000 0.708 0.292
Ti: 0.082 0.082 0.325
Ti: 0.082 0.325 0.082
Ti: 0.292 0.000 0.708
Ti: 0.292 0.708 0.000
Ti: 0.325 0.082 0.082
Ti: 0.675 0.918 0.918
Ti: 0.708 0.000 0.292
Ti: 0.708 0.292 0.000
Ti: 0.918 0.675 0.918
Ti: 0.918 0.918 0.675
Nb: 0.114 0.458 0.458
Nb: 0.458 0.114 0.458
Nb: 0.458 0.458 0.114
Nb: 0.542 0.542 0.886
Nb: 0.542 0.886 0.542
Nb: 0.886 0.542 0.542
Cd: 0.500 0.500 0.500


A plane-wave DFT calculation with PBE was carried out for a relaxed Ti4NbCd crystal.

Properties
Its symmetry is No. 10. The volume comes out at 18.0 A^3/atom. As for the magnetization: 0.0 μB per formula unit. For the total energy, the calculation gives -7.05 eV/atom.

a b c (Å): 2.878 4.505 8.417
angles (deg): 90.00 97.19 90.00
Element x y z (fractional)
Ti: 0.104 0.000 0.185
Ti: 0.268 0.500 0.654
Ti: 0.732 0.500 0.346
Ti: 0.896 0.000 0.815
Nb: 0.500 0.000 0.500
Cd: 0.500 0.500 0.000


A plane-wave DFT calculation with PBE was carried out for a relaxed Ti3NbCd crystal.

Properties
Its symmetry is No. 221. The volume comes out at 23.1 A^3/atom. As for the magnetization: 2.7 μB per formula unit. The value obtained for the energy above the lowest structure with this stoichiometry is 1464 meV per atom. For the total energy, the calculation gives -5.44 eV/atom.

a b c (Å): 4.872 4.872 4.872
angles (deg): 90.00 90.00 90.00
Element x y z (fractional)
Ti: 0.000 0.000 0.500
Ti: 0.000 0.500 0.000
Ti: 0.500 0.000 0.000
Nb: 0.500 0.500 0.500
Cd: 0.000 0.000 0.000


A plane-wave DFT calculation with PBE was carried out for a relaxed TiNbCd3 crystal.

Properties
Its symmetry is No. 221. The volume comes out at 28.7 A^3/atom. As for the magnetization: 0.0 μB per formula unit. The value obtained for the energy above the lowest structure with this stoichiometry is 0 meV per atom. For the total energy, the calculation gives -2.75 eV/atom.

a b c (Å): 5.237 5.237 5.237
angles (deg): 90.00 90.00 90.00
Element x y z (fractional)
Ti: 0.000 0.000 0.000
Nb: 0.500 0.500 0.500
Cd: 0.000 0.500 0.500
Cd: 0.500 0.000 0.500
Cd: 0.500 0.500 0.000


A plane-wave DFT calculation with PBE was carried out for a relaxed Ti2NbCd2 crystal.

Properties
Its symmetry is No. 127. The volume comes out at 19.1 A^3/atom. As for the magnetization: 0.7 μB per formula unit. The value obtained for the energy above the lowest structure with this stoichiometry is 278 meV per atom. For the total energy, the calculation gives -5.20 eV/atom.

a b c (Å): 7.851 7.851 3.106
angles (deg): 90.00 90.00 90.00
Element x y z (fractional)
Ti: 0.177 0.323 0.000
Ti: 0.323 0.823 0.000
Ti: 0.677 0.177 0.000
Ti: 0.823 0.677 0.000
Nb: 0.000 0.000 0.500
Nb: 0.500 0.500 0.500
Cd: 0.125 0.625 0.500
Cd: 0.375 0.125 0.500
Cd: 0.625 0.875 0.500
Cd: 0.875 0.375 0.500


A plane-wave DFT calculation with PBE was carried out for a relaxed TiNb3Cd crystal.

Properties
Its symmetry is No. 221. The volume comes out at 21.2 A^3/atom. As for the magnetization: 0.0 μB per formula unit. The value obtained for the energy above the lowest structure with this stoichiometry is 0 meV per atom. For the total energy, the calculation gives -6.73 eV/atom.

a b c (Å): 4.734 4.734 4.734
angles (deg): 90.00 90.00 90.00
Element x y z (fractional)
Ti: 0.000 0.000 0.000
Nb: 0.000 0.000 0.500
Nb: 0.000 0.500 0.000
Nb: 0.500 0.000 0.000
Cd: 0.500 0.500 0.500